First-principles (meta-GGA SCAN) data for Zr2ScZn at its PBEsol-relaxed geometry, as listed in the Alexandria database.

Output
DOS at the Fermi energy, states/eV/f.u.: 4.72
M_tot, Bohr magnetons per cell: 0.0
Theoretical density, g/cm³: 6.0
Energy of formation from the pure elements, meV per atom: -187

Structure (CIF):
```
data_Zr2ScZn
_space_group_name_H-M_alt 'P 4 m m'
_space_group_IT_number 99
_cell_length_a 3.1602
_cell_length_b 3.1602
_cell_length_c 8.0577
_cell_angle_alpha 90.00
_cell_angle_beta 90.00
_cell_angle_gamma 90.00
loop_
_space_group_symop_operation_xyz
'x,y,z'
'-y,x,z'
'-x,-y,z'
'y,-x,z'
'-x,y,z'
'y,x,z'
'x,-y,z'
'-y,-x,z'
loop_
_atom_site_label
_atom_site_type_symbol
_atom_site_fract_x
_atom_site_fract_y
_atom_site_fract_z
_atom_site_occupancy
Zr1 Zr 0.0000 0.0000 0.0000 1
Zr2 Zr 0.5000 0.5000 0.2745 1
Sc1 Sc 0.0000 0.0000 0.5516 1
Zn1 Zn 0.5000 0.5000 0.7716 1
```

***

First-principles (meta-GGA SCAN) data for Mg2FeRe at its PBEsol-relaxed geometry, as listed in the Alexandria database.

Output
DOS at the Fermi energy, states/eV/f.u.: 1.74
M_tot, Bohr magnetons per cell: 5.1
Polymorph energy (0 for the lowest one), meV/atom: 68.8
Theoretical density, g/cm³: 8.1
Energy of formation from the pure elements, meV per atom: 306

Structure (CIF):
```
data_Mg2FeRe
_space_group_name_H-M_alt 'C 1 2/m 1'
_space_group_IT_number 12
_cell_length_a 9.2758
_cell_length_b 2.6782
_cell_length_c 4.8710
_cell_angle_alpha 90.00
_cell_angle_beta 99.66
_cell_angle_gamma 90.00
loop_
_space_group_symop_operation_xyz
'x,y,z'
'-x,-y,-z'
'-x,y,-z'
'x,-y,z'
'x+1/2,y+1/2,z'
'-x+1/2,-y+1/2,-z'
'-x+1/2,y+1/2,-z'
'x+1/2,-y+1/2,z'
loop_
_atom_site_label
_atom_site_type_symbol
_atom_site_fract_x
_atom_site_fract_y
_atom_site_fract_z
_atom_site_occupancy
Mg1 Mg 0.2447 0.0000 0.2483 1
Fe1 Fe 0.0000 0.5000 0.0000 1
Re1 Re 0.0000 0.0000 0.5000 1
```

***

First-principles (meta-GGA SCAN) data for HfNb2Br at its PBEsol-relaxed geometry, as listed in the Alexandria database.

Output
DOS at the Fermi energy, states/eV/f.u.: 3.99
M_tot, Bohr magnetons per cell: 0.0
Theoretical density, g/cm³: 10.0
Formation energy from raw total energies, eV per atom: 0.749

Structure (CIF):
```
data_HfNb2Br
_space_group_name_H-M_alt 'F m -3 m'
_space_group_IT_number 225
_space_group_name_Hall '-F 4 2 3'
_cell_length_a 6.6471
_cell_length_b 6.6471
_cell_length_c 6.6471
_cell_angle_alpha 90.00
_cell_angle_beta 90.00
_cell_angle_gamma 90.00
loop_
_atom_site_label
_atom_site_type_symbol
_atom_site_fract_x
_atom_site_fract_y
_atom_site_fract_z
_atom_site_occupancy
Hf1 Hf 0.0000 0.0000 0.0000 1
Nb1 Nb 0.2500 0.2500 0.2500 1
Br1 Br 0.0000 0.0000 0.5000 1
```